The following is a DFT calculation (PBE with a Hubbard U) of a relaxed structure of Al2CoO4.

Properties
Mass density = 4293 kg/m3
Final energy = -1190.3 eV per cell
Distance to the lowest polymorph of the same formula = 43.6 meV/atom
DOS at the Fermi energy = 21.46 states/eV per cell

abc: 5.7838 5.7838 56.6877
angles: 90.00 90.00 120.00
Closest atoms and distances in Å follow each position.
Space group R3m (No. 160, hexagonal axes)
One atom of each set of equivalent atoms:
Al (0.0000, 0.0000, 0.0000)  4 O 1.82-1.83
Al (0.0000, 0.0000, 0.0944)  6 O 1.92-1.93
Al (0.0000, 0.0000, 0.5941)  6 O 1.92-1.93
Al (0.0000, 0.0000, 0.8442)  6 O 1.93-1.94
Al (0.0001, 0.5000, 0.4692)  6 O 1.93-1.94
Al (0.1670, 0.3340, 0.5526)  6 O 1.93-1.94
Al (0.1684, 0.3367, 0.3026)  6 O 1.92-1.97
Al (0.1687, 0.3375, 0.0530)  6 O 1.89-2.06
Co (0.0000, 0.0000, 0.1880)  4 O 1.97-1.98
Co (0.0000, 0.0000, 0.2510)  4 O 1.98-2.01
Co (0.0000, 0.0000, 0.3450)  6 O 2.04-2.13
Co (0.0000, 0.0000, 0.4385)  4 O 1.95-1.97
Co (0.0000, 0.0000, 0.5005)  4 O 1.98-1.99
Co (0.0000, 0.0000, 0.6889)  4 O 1.94-2.01
Co (0.0000, 0.0000, 0.7498)  4 O 1.99-2.01
Co (0.0000, 0.0000, 0.9380)  4 O 1.97-1.98
O (0.0000, 0.0000, 0.0323)  1 Al 1.83
O (0.0000, 0.0000, 0.1533)  3 Al 1.94, 1 Co 1.97
O (0.0000, 0.0000, 0.2865)  3 Al 1.92, 1 Co 2.01
O (0.0000, 0.0000, 0.4041)  3 Al 1.93, 1 Co 1.95
O (0.0000, 0.0000, 0.5355)  3 Al 1.93, 1 Co 1.99
O (0.0000, 0.0000, 0.6534)  3 Al 1.93, 1 Co 2.01
O (0.0000, 0.0000, 0.7851)  3 Al 1.94, 1 Co 2.01
O (0.0000, 0.0000, 0.9032)  3 Al 1.93, 1 Co 1.97
O (0.0254, 0.5127, 0.0353)  2 Al 1.89, 2 Co 1.94-2.04
O (0.0387, 0.5194, 0.5330)  3 Al 1.93-1.94, 1 Co 1.98
O (0.0391, 0.5196, 0.7831)  3 Al 1.93, 1 Co 1.97
O (0.0405, 0.5202, 0.2827)  3 Al 1.92-1.93, 1 Co 1.98
O (0.1686, 0.3372, 0.9878)  3 Al 1.82-1.97
O (0.1852, 0.3705, 0.2390)  3 Al 1.93-1.94, 1 Co 1.98
O (0.1861, 0.3721, 0.4889)  3 Al 1.93-1.94, 1 Co 1.98
O (0.1884, 0.3769, 0.7389)  3 Al 1.92, 1 Co 1.99